Record 1
Below is a geometry-optimized HfTlIn2Br8 structure, with properties calculated at the PBE level.

Calculated values
ΔE_f (raw) (eV/atom): -0.964
Total energy (eV per atom): -3.562

Geometry as POSCAR:
```
HfTlIn2Br8
1.0
6.784 0.000 0.000
0.134 7.261 0.000
0.015 0.002 9.218
Hf Tl In Br
1 1 2 8
direct
0.000 0.000 0.000 Hf
0.000 0.000 0.500 Tl
0.500 0.500 0.252 In
0.500 0.500 0.748 In
0.212 0.299 0.000 Br
0.232 0.859 0.202 Br
0.232 0.860 0.797 Br
0.288 0.358 0.500 Br
0.712 0.642 0.500 Br
0.768 0.140 0.203 Br
0.768 0.141 0.798 Br
0.788 0.701 0.000 Br
```

Record 2
Below is a geometry-optimized HfTlInBr2 structure, with properties calculated at the PBE level.

Calculated values
ΔE_f (raw) (eV/atom): 0.442
Total energy (eV per atom): -3.239

Geometry as POSCAR:
```
HfTlInBr2
1.0
5.658 0.000 0.000
0.000 5.658 0.000
0.000 0.000 5.862
Hf Tl In Br
1 1 1 2
direct
0.000 0.000 0.000 Hf
0.500 0.500 0.000 Tl
0.000 0.000 0.500 In
0.000 0.500 0.500 Br
0.500 0.000 0.500 Br
```

Record 3
Below is a geometry-optimized Hf2IrBr structure, with properties calculated at the PBE level.

Calculated values
ΔE_f (raw) (eV/atom): 0.079
Distance to the lowest polymorph of the same formula (meV per atom): 300
Total energy (eV per atom): -7.532

Geometry as POSCAR:
```
Hf2IrBr
1.0
5.859 0.000 0.000
0.000 5.859 0.000
0.000 0.000 13.005
Hf Ir Br
8 4 4
direct
0.210 0.250 0.125 Hf
0.250 0.710 0.375 Hf
0.250 0.790 0.875 Hf
0.290 0.250 0.625 Hf
0.710 0.750 0.625 Hf
0.750 0.210 0.875 Hf
0.750 0.290 0.375 Hf
0.790 0.750 0.125 Hf
0.000 0.000 0.000 Ir
0.000 0.500 0.250 Ir
0.500 0.000 0.750 Ir
0.500 0.500 0.500 Ir
0.000 0.000 0.500 Br
0.000 0.500 0.750 Br
0.500 0.000 0.250 Br
0.500 0.500 0.000 Br
```

Record 4
Below is a geometry-optimized Hf3IrBr structure, with properties calculated at the PBE level.

Calculated values
ΔE_f (raw) (eV/atom): 0.206
Distance to the lowest polymorph of the same formula (meV per atom): 0
Total energy (eV per atom): -7.873

Geometry as POSCAR:
```
Hf3IrBr
1.0
5.089 0.000 0.000
0.000 5.089 0.000
0.000 0.000 5.089
Hf Ir Br
3 1 1
direct
0.000 0.000 0.500 Hf
0.000 0.500 0.000 Hf
0.500 0.000 0.000 Hf
0.000 0.000 0.000 Ir
0.500 0.500 0.500 Br
```

Record 5
Below is a geometry-optimized HfIr2Br structure, with properties calculated at the PBE level.

Calculated values
ΔE_f (raw) (eV/atom): 0.367
Distance to the lowest polymorph of the same formula (meV per atom): 0
Total energy (eV per atom): -6.970

Geometry as POSCAR:
```
HfIr2Br
1.0
6.583 0.000 0.000
0.000 6.583 0.000
0.000 0.000 6.583
Hf Ir Br
4 8 4
direct
0.000 0.000 0.000 Hf
0.000 0.500 0.500 Hf
0.500 0.000 0.500 Hf
0.500 0.500 0.000 Hf
0.250 0.250 0.250 Ir
0.250 0.250 0.750 Ir
0.250 0.750 0.250 Ir
0.250 0.750 0.750 Ir
0.750 0.250 0.250 Ir
0.750 0.250 0.750 Ir
0.750 0.750 0.250 Ir
0.750 0.750 0.750 Ir
0.000 0.000 0.500 Br
0.000 0.500 0.000 Br
0.500 0.000 0.000 Br
0.500 0.500 0.500 Br
```

Record 6
Below is a geometry-optimized HfIrBr3 structure, with properties calculated at the PBE level.

Calculated values
ΔE_f (raw) (eV/atom): 0.738
Distance to the lowest polymorph of the same formula (meV per atom): 198
Total energy (eV per atom): -4.029

Geometry as POSCAR:
```
HfIrBr3
1.0
5.043 0.000 0.000
0.000 5.043 0.000
0.000 0.000 5.043
Hf Ir Br
1 1 3
direct
0.000 0.000 0.000 Hf
0.500 0.500 0.500 Ir
0.000 0.500 0.500 Br
0.500 0.000 0.500 Br
0.500 0.500 0.000 Br
```

Record 7
Below is a geometry-optimized HfIrBr3 structure, with properties calculated at the PBE level.

Calculated values
ΔE_f (raw) (eV/atom): 0.540
Distance to the lowest polymorph of the same formula (meV per atom): 0
Total energy (eV per atom): -4.227

Geometry as POSCAR:
```
HfIrBr3
1.0
5.238 0.000 0.000
0.000 5.238 0.000
0.000 0.000 5.238
Hf Ir Br
1 1 3
direct
0.000 0.000 0.000 Hf
0.500 0.500 0.500 Ir
0.000 0.000 0.500 Br
0.000 0.500 0.000 Br
0.500 0.000 0.000 Br
```

Record 8
Below is a geometry-optimized Hf2IrBr structure, with properties calculated at the PBE level.

Calculated values
ΔE_f (raw) (eV/atom): -0.222
Distance to the lowest polymorph of the same formula (meV per atom): 0
Total energy (eV per atom): -7.832

Geometry as POSCAR:
```
Hf2IrBr
1.0
6.728 0.000 0.000
0.000 6.728 0.000
0.000 0.000 6.728
Hf Ir Br
8 4 4
direct
0.250 0.250 0.250 Hf
0.250 0.250 0.750 Hf
0.250 0.750 0.250 Hf
0.250 0.750 0.750 Hf
0.750 0.250 0.250 Hf
0.750 0.250 0.750 Hf
0.750 0.750 0.250 Hf
0.750 0.750 0.750 Hf
0.000 0.000 0.000 Ir
0.000 0.500 0.500 Ir
0.500 0.000 0.500 Ir
0.500 0.500 0.000 Ir
0.000 0.000 0.500 Br
0.000 0.500 0.000 Br
0.500 0.000 0.000 Br
0.500 0.500 0.500 Br
```

| no. | magnetic moment (μB/f.u.) |
| --- | --- |
| 1 | 0.00 |
| 2 | 1.14 |
| 3 | 0.00 |
| 4 | 0.00 |
| 5 | 0.77 |
| 6 | 1.70 |
| 7 | 2.67 |
| 8 | 0.00 |